(1)
This record from Alexandria via LeMat-Bulk describes an optimized crystal structure of Th4Ni2N. The functional is PBE.

Properties
- Fermi-level density of states (states/eV per atom) = 1.117
- space-group type = I4/mmm
- mass density (g/cm3) = 10.53

a = 4.7284 Å, b = 4.7284 Å, c = 8.1857 Å
α = 73.21°, β = 73.21°, γ = 90.00°
Atoms (fractional coordinates):
Th 0.3074 0.3074 0.3852
Th 0.6926 0.6926 0.6148
Th 0.5000 0.0000 0.0000
Th 0.0000 0.5000 0.0000
Ni 0.8596 0.8596 0.2809
Ni 0.1404 0.1404 0.7191
N 0.0000 0.0000 0.0000

***

(2)
This record from Alexandria via LeMat-Bulk describes an optimized crystal structure of Th2UNiN5. The functional is PBE.

Properties
- Fermi-level density of states (states/eV per atom) = 0.471
- space-group type = Cmc2_1
- mass density (g/cm3) = 11.08

a = 3.4644 Å, b = 7.1292 Å, c = 10.3984 Å
α = 90.00°, β = 90.00°, γ = 104.06°
Atoms (fractional coordinates):
Ni 0.4885 0.9770 0.4757
Ni 0.5115 0.0230 0.9757
N 0.4974 0.9948 0.7846
N 0.7109 0.4218 0.1420
N 0.2891 0.5782 0.6420
N 0.3005 0.6010 0.3666
N 0.0439 0.0877 0.0601
N 0.6471 0.2943 0.5009
N 0.9561 0.9123 0.5601
N 0.6995 0.3990 0.8666
N 0.5026 0.0052 0.2846
N 0.3529 0.7057 0.0009
U 0.1935 0.3870 0.0039
U 0.8065 0.6130 0.5039
Th 0.1248 0.2496 0.3082
Th 0.8752 0.7504 0.8082
Th 0.8907 0.7814 0.1819
Th 0.1093 0.2186 0.6819

***

Taking the records one at a time from the top gives energy relative to the elements, uncorrected values of -0.308; -1.116 eV per atom.